An optimized crystal structure of BeCdTcO5. Source: Alexandria via LeMat-Bulk, functional GGA-PBE.

Cell and atoms, written as CIF:
```
data_BeCdTcO5
_space_group_name_H-M_alt 'C 1 2/c 1'
_space_group_IT_number 15
_space_group_name_Hall '-C 2yc'
_cell_length_a 6.4532
_cell_length_b 8.6955
_cell_length_c 7.2462
_cell_angle_alpha 90.00
_cell_angle_beta 115.49
_cell_angle_gamma 90.00
loop_
_atom_site_label
_atom_site_fract_x
_atom_site_fract_y
_atom_site_fract_z
_atom_site_occupancy
Be1 0.0000 0.1909 0.2500 1
Cd1 0.0000 0.1633 0.7500 1
Tc1 0.0000 0.5000 0.0000 1
O1 0.0000 0.4275 0.7500 1
O2 0.1070 0.2975 0.1244 1
O3 0.1932 0.0682 0.4076 1
```

Summary:
* E_form (uncorrected): -1.4992 eV per atom
* electronic total energy: -207.17 eV for the cell shown
* magnetic moment: 0.98 μB/f.u.
* DOS at the Fermi energy: 11.25 states/eV per cell



An optimized crystal structure of LaBiO3. Source: Alexandria via LeMat-Bulk, functional GGA-PBE.

Cell and atoms, written as CIF:
```
data_LaBiO3
_space_group_name_H-M_alt 'P n m a'
_space_group_IT_number 62
_space_group_name_Hall '-P 2ac 2n'
_cell_length_a 6.5455
_cell_length_b 8.8403
_cell_length_c 6.0486
_cell_angle_alpha 90.00
_cell_angle_beta 90.00
_cell_angle_gamma 90.00
loop_
_atom_site_label
_atom_site_fract_x
_atom_site_fract_y
_atom_site_fract_z
_atom_site_occupancy
La1 0.0000 0.0000 0.0000 1
Bi1 0.0232 0.2500 0.4888 1
O1 0.0682 0.7500 0.1670 1
O2 0.1745 0.5757 0.6562 1
```

Summary:
* E_form (uncorrected): -2.3094 eV per atom
* electronic total energy: -140.92 eV for the cell shown
* magnetic moment: 0.00 μB/f.u.
* DOS at the Fermi energy: 0.00 states/eV per cell



An optimized crystal structure of Er3AgAu2. Source: Alexandria via LeMat-Bulk, functional GGA-PBE.

Cell and atoms, written as CIF:
```
data_Er3AgAu2
_space_group_name_H-M_alt 'P -3 m 1'
_space_group_IT_number 164
_space_group_name_Hall '-P 3 2"'
_cell_length_a 5.0550
_cell_length_b 5.0550
_cell_length_c 12.4294
_cell_angle_alpha 90.00
_cell_angle_beta 90.00
_cell_angle_gamma 120.00
loop_
_atom_site_label
_atom_site_fract_x
_atom_site_fract_y
_atom_site_fract_z
_atom_site_occupancy
Er1 0.0000 0.0000 0.2475 1
Er2 0.3333 0.6667 0.4178 1
Er3 0.3333 0.6667 0.9200 1
Ag1 0.3333 0.6667 0.6696 1
Au1 0.0000 0.0000 0.0000 1
Au2 0.0000 0.0000 0.5000 1
Au3 0.3333 0.6667 0.1747 1
```

Summary:
* electronic total energy: -54.67 eV for the cell shown
* magnetic moment: 0.00 μB/f.u.
* DOS at the Fermi energy: 5.45 states/eV per cell
* formation energy from the elements: -0.707 eV/atom



An optimized crystal structure of ScIn3As. Source: Alexandria via LeMat-Bulk, functional GGA-PBE.

Cell and atoms, written as CIF:
```
data_ScIn3As
_space_group_name_H-M_alt 'P m -3 m'
_space_group_IT_number 221
_space_group_name_Hall '-P 4 2 3'
_cell_length_a 5.3048
_cell_length_b 5.3048
_cell_length_c 5.3048
_cell_angle_alpha 90.00
_cell_angle_beta 90.00
_cell_angle_gamma 90.00
loop_
_atom_site_label
_atom_site_fract_x
_atom_site_fract_y
_atom_site_fract_z
_atom_site_occupancy
Sc1 0.0000 0.0000 0.0000 1
In1 0.0000 0.5000 0.5000 1
As1 0.5000 0.5000 0.5000 1
```

Summary:
* electronic total energy: -16.99 eV for the cell shown
* ΔE to the lowest computed polymorph: 0.000 eV per atom
* magnetic moment: 0.00 μB/f.u.
* DOS at the Fermi energy: 3.82 states/eV per cell
* formation energy from the elements: 0.441 eV/atom



An optimized crystal structure of Hf2CrRh. Source: Alexandria via LeMat-Bulk, functional GGA-PBE.

Cell and atoms, written as CIF:
```
data_Hf2CrRh
_space_group_name_H-M_alt 'P 4/m m m'
_space_group_IT_number 123
_space_group_name_Hall '-P 4 2'
_cell_length_a 3.2307
_cell_length_b 3.2307
_cell_length_c 6.4923
_cell_angle_alpha 90.00
_cell_angle_beta 90.00
_cell_angle_gamma 90.00
loop_
_atom_site_label
_atom_site_fract_x
_atom_site_fract_y
_atom_site_fract_z
_atom_site_occupancy
Hf1 0.0000 0.0000 0.2436 1
Cr1 0.5000 0.5000 0.0000 1
Rh1 0.5000 0.5000 0.5000 1
```

Summary:
* electronic total energy: -38.70 eV for the cell shown
* magnetic moment: 0.86 μB/f.u.
* DOS at the Fermi energy: 3.16 states/eV per cell
* formation energy from the elements: -0.455 eV/atom



An optimized crystal structure of Pu2HfIn9. Source: Alexandria via LeMat-Bulk, functional GGA-PBE.

Cell and atoms, written as CIF:
```
data_Pu2HfIn9
_space_group_name_H-M_alt 'P 4/m m m'
_space_group_IT_number 123
_space_group_name_Hall '-P 4 2'
_cell_length_a 4.6037
_cell_length_b 4.6037
_cell_length_c 13.7646
_cell_angle_alpha 90.00
_cell_angle_beta 90.00
_cell_angle_gamma 90.00
loop_
_atom_site_label
_atom_site_fract_x
_atom_site_fract_y
_atom_site_fract_z
_atom_site_occupancy
Pu1 0.0000 0.0000 0.1726 1
Hf1 0.0000 0.0000 0.5000 1
In1 0.0000 0.5000 0.0000 1
In2 0.0000 0.5000 0.3399 1
In3 0.5000 0.5000 0.1678 1
In4 0.5000 0.5000 0.5000 1
```

Summary:
* electronic total energy: -65.42 eV for the cell shown
* magnetic moment: 11.29 μB/f.u.
* DOS at the Fermi energy: 24.46 states/eV per cell
* formation energy from the elements: -0.180 eV/atom



An optimized crystal structure of Na4BeI6. Source: Alexandria via LeMat-Bulk, functional GGA-PBE.

Cell and atoms, written as CIF:
```
data_Na4BeI6
_space_group_name_H-M_alt 'C 1 c 1'
_space_group_IT_number 9
_space_group_name_Hall 'C -2yc'
_cell_length_a 14.8924
_cell_length_b 8.4158
_cell_length_c 15.3187
_cell_angle_alpha 90.00
_cell_angle_beta 111.87
_cell_angle_gamma 90.00
loop_
_atom_site_label
_atom_site_fract_x
_atom_site_fract_y
_atom_site_fract_z
_atom_site_occupancy
Na1 0.0000 0.0907 0.0000 1
Na2 0.1282 0.3289 0.3543 1
Na3 0.3122 0.3688 0.6974 1
Na4 0.3559 0.1153 0.0198 1
Be1 0.0644 0.2315 0.7613 1
I1 0.1008 0.4556 0.6776 1
I2 0.1222 0.0132 0.2168 1
I3 0.1422 0.2797 0.9300 1
I4 0.3206 0.2437 0.5132 1
I5 0.3895 0.2747 0.2167 1
I6 0.4485 0.2726 0.8937 1
```

Summary:
* E_form (uncorrected): -1.0450 eV per atom
* electronic total energy: -119.19 eV for the cell shown
* magnetic moment: 0.00 μB/f.u.
* DOS at the Fermi energy: 0.00 states/eV per cell



An optimized crystal structure of Y6InTc2. Source: Alexandria via LeMat-Bulk, functional GGA-PBE.

Cell and atoms, written as CIF:
```
data_Y6InTc2
_space_group_name_H-M_alt 'I m m m'
_space_group_IT_number 71
_space_group_name_Hall '-I 2 2'
_cell_length_a 9.6079
_cell_length_b 9.6316
_cell_length_c 10.4307
_cell_angle_alpha 90.00
_cell_angle_beta 90.00
_cell_angle_gamma 90.00
loop_
_atom_site_label
_atom_site_fract_x
_atom_site_fract_y
_atom_site_fract_z
_atom_site_occupancy
Y1 0.0000 0.2053 0.1826 1
Y2 0.1904 0.2174 0.5000 1
Y3 0.2130 0.5000 0.2640 1
In1 0.0000 0.5000 0.0000 1
In2 0.0000 0.5000 0.5000 1
Tc1 0.0000 0.0000 0.3863 1
Tc2 0.1292 0.0000 0.0000 1
```

Summary:
* electronic total energy: -255.69 eV for the cell shown
* magnetic moment: 0.00 μB/f.u.
* DOS at the Fermi energy: 40.18 states/eV per cell
* formation energy from the elements: -0.185 eV/atom



An optimized crystal structure of Mn2TlCo. Source: Alexandria via LeMat-Bulk, functional GGA-PBE.

Cell and atoms, written as CIF:
```
data_Mn2TlCo
_space_group_name_H-M_alt 'F -4 3 m'
_space_group_IT_number 216
_space_group_name_Hall 'F -4 2 3'
_cell_length_a 6.2304
_cell_length_b 6.2304
_cell_length_c 6.2304
_cell_angle_alpha 90.00
_cell_angle_beta 90.00
_cell_angle_gamma 90.00
loop_
_atom_site_label
_atom_site_fract_x
_atom_site_fract_y
_atom_site_fract_z
_atom_site_occupancy
Mn1 0.0000 0.0000 0.0000 1
Mn2 0.2500 0.2500 0.2500 1
Tl1 0.2500 0.2500 0.7500 1
Co1 0.0000 0.0000 0.5000 1
```

Summary:
* electronic total energy: -104.27 eV for the cell shown
* ΔE to the lowest computed polymorph: 0.139 eV per atom
* magnetic moment: 7.94 μB/f.u.
* DOS at the Fermi energy: 4.42 states/eV per cell
* formation energy from the elements: 0.436 eV/atom



An optimized crystal structure of Rb2Pt2Pb. Source: Alexandria via LeMat-Bulk, functional GGA-PBE.

Cell and atoms, written as CIF:
```
data_Rb2Pt2Pb
_space_group_name_H-M_alt 'I 4/m m m'
_space_group_IT_number 139
_space_group_name_Hall '-I 4 2'
_cell_length_a 3.6894
_cell_length_b 3.6894
_cell_length_c 23.8993
_cell_angle_alpha 90.00
_cell_angle_beta 90.00
_cell_angle_gamma 90.00
loop_
_atom_site_label
_atom_site_fract_x
_atom_site_fract_y
_atom_site_fract_z
_atom_site_occupancy
Rb1 0.0000 0.0000 0.1290 1
Pt1 0.0000 0.5000 0.2500 1
Pb1 0.0000 0.0000 0.5000 1
```

Summary:
* electronic total energy: -34.71 eV for the cell shown
* ΔE to the lowest computed polymorph: 0.245 eV per atom
* magnetic moment: 0.00 μB/f.u.
* DOS at the Fermi energy: 9.01 states/eV per cell
* formation energy from the elements: 0.074 eV/atom



An optimized crystal structure of BeMo2I. Source: Alexandria via LeMat-Bulk, functional GGA-PBE.

Cell and atoms, written as CIF:
```
data_BeMo2I
_space_group_name_H-M_alt 'F m -3 m'
_space_group_IT_number 225
_space_group_name_Hall '-F 4 2 3'
_cell_length_a 6.3016
_cell_length_b 6.3016
_cell_length_c 6.3016
_cell_angle_alpha 90.00
_cell_angle_beta 90.00
_cell_angle_gamma 90.00
loop_
_atom_site_label
_atom_site_fract_x
_atom_site_fract_y
_atom_site_fract_z
_atom_site_occupancy
Be1 0.0000 0.0000 0.0000 1
Mo1 0.2500 0.2500 0.2500 1
I1 0.0000 0.0000 0.5000 1
```

Summary:
* E_form (uncorrected): 0.8984 eV per atom
* electronic total energy: -93.38 eV for the cell shown
* ΔE to the lowest computed polymorph: 0.000 eV per atom
* magnetic moment: 0.00 μB/f.u.
* DOS at the Fermi energy: 18.35 states/eV per cell



An optimized crystal structure of In3CoSi. Source: Alexandria via LeMat-Bulk, functional GGA-PBE.

Cell and atoms, written as CIF:
```
data_In3CoSi
_space_group_name_H-M_alt 'P m -3 m'
_space_group_IT_number 221
_space_group_name_Hall '-P 4 2 3'
_cell_length_a 5.1736
_cell_length_b 5.1736
_cell_length_c 5.1736
_cell_angle_alpha 90.00
_cell_angle_beta 90.00
_cell_angle_gamma 90.00
loop_
_atom_site_label
_atom_site_fract_x
_atom_site_fract_y
_atom_site_fract_z
_atom_site_occupancy
In1 0.0000 0.0000 0.5000 1
Co1 0.5000 0.5000 0.5000 1
Si1 0.0000 0.0000 0.0000 1
```

Summary:
* E_form (uncorrected): 0.9691 eV per atom
* electronic total energy: -15.90 eV for the cell shown
* ΔE to the lowest computed polymorph: 0.519 eV per atom
* magnetic moment: 1.77 μB/f.u.
* DOS at the Fermi energy: 4.08 states/eV per cell